## Pm7DyCd4 (PBE)

Data for a geometry-optimized Pm7DyCd4 structure.

Summary:
* magnetic moment: 0.00 μB per cell
* DFT formation energy: -21 meV/atom

Cell: 14.998 5.825 9.942 Å, 90.00 122.04 90.00°
Space group C2/m (No. 12)
Inequivalent atoms, fractional coordinates:
1 Pm 0.000 0.000 0.000 (multiplicity 2)
2 Pm 0.070 0.500 0.409 (multiplicity 4)
3 Pm 0.204 0.500 0.882 (multiplicity 4)
4 Pm 0.237 0.000 0.694 (multiplicity 4)
5 Dy 0.000 0.500 0.000 (multiplicity 2)
6 Cd 0.041 0.000 0.713 (multiplicity 4)
7 Cd 0.181 0.000 0.343 (multiplicity 4)

***

## Rb2TlWCl6 (PBE)

Data for a geometry-optimized Rb2TlWCl6 structure.

Summary:
* magnetic moment: 12.00 μB per cell
* formation energy without anion corrections: -1.229 eV/atom
* excess energy over the best structure of this formula in the dataset: 11 meV per atom

Cell: 10.988 10.988 10.988 Å, 90.00 90.00 90.00°
Space group Fm-3m (No. 225)
Inequivalent atoms, fractional coordinates:
1 Rb 0.250 0.250 0.250 (multiplicity 8)
2 Tl 0.000 0.000 0.000 (multiplicity 4)
3 W 0.000 0.000 0.500 (multiplicity 4)
4 Cl 0.000 0.000 0.277 (multiplicity 24)

***

## Ca2YHo (PBE)

Data for a geometry-optimized Ca2YHo structure.

Summary:
* magnetic moment: 0.00 μB per cell
* excess energy over the best structure of this formula in the dataset: 52 meV per atom
* DFT formation energy: 186 meV/atom

Cell: 4.129 4.129 8.290 Å, 90.00 90.00 90.00°
Space group P4/mmm (No. 123)
Inequivalent atoms, fractional coordinates:
1 Ca 0.000 0.000 0.248 (multiplicity 2)
2 Y 0.500 0.500 0.500 (multiplicity 1)
3 Ho 0.500 0.500 0.000 (multiplicity 1)

***

## Li2TeAs2 (PBE)

Data for a geometry-optimized Li2TeAs2 structure.

Summary:
* magnetic moment: 0.00 μB per cell
* formation energy without anion corrections: -0.357 eV/atom
* excess energy over the best structure of this formula in the dataset: 0 meV per atom

Cell: 3.660 3.660 16.204 Å, 90.00 90.00 90.00°
Space group I4/mmm (No. 139)
Inequivalent atoms, fractional coordinates:
1 Li 0.000 0.000 0.104 (multiplicity 4)
2 Te 0.000 0.000 0.500 (multiplicity 2)
3 As 0.000 0.500 0.250 (multiplicity 4)

***

## MnMo3 (PBE)

Data for a geometry-optimized MnMo3 structure.

Summary:
* magnetic moment: 5.30 μB per cell
* DFT formation energy: 81 meV/atom

Cell: 8.7754 8.7754 2.6913 Å, 90.00 90.00 120.00°
Space group R-3m (No. 166, hexagonal axes)
Inequivalent atoms, fractional coordinates:
1 Mn 0.0000 0.0000 0.0000 (multiplicity 3)
2 Mo 0.0000 0.5000 0.0000 (multiplicity 9)

***

## La3Au2 (PBE)

Data for a geometry-optimized La3Au2 structure.

Summary:
* magnetic moment: 0.00 μB per cell
* excess energy over the best structure of this formula in the dataset: 386 meV per atom
* DFT formation energy: -263 meV/atom

Cell: 3.9831 3.9831 35.0937 Å, 90.00 90.00 120.00°
Space group R-3m (No. 166, hexagonal axes)
Inequivalent atoms, fractional coordinates:
1 La 0.0000 0.0000 0.0000 (multiplicity 3)
2 La 0.0000 0.0000 0.4198 (multiplicity 6)
3 Au 0.0000 0.0000 0.1905 (multiplicity 6)

***

## Co2Pt (PBE)

Data for a geometry-optimized Co2Pt structure.

Summary:
* magnetic moment: 11.78 μB per cell
* DFT formation energy: 23 meV/atom

Cell: 7.1636 7.1636 2.6388 Å, 90.00 90.00 120.00°
Space group P-62m (No. 189)
Inequivalent atoms, fractional coordinates:
1 Co 0.0000 0.3048 0.0000 (multiplicity 3)
2 Co 0.0000 0.6370 0.5000 (multiplicity 3)
3 Pt 0.0000 0.0000 0.5000 (multiplicity 1)
4 Pt 0.3333 0.6667 0.0000 (multiplicity 2)

***

## Sr2In3SnPt4 (PBE)

Data for a geometry-optimized Sr2In3SnPt4 structure.

Summary:
* magnetic moment: 0.00 μB per cell
* DFT formation energy: -713 meV/atom

Cell: 4.790 4.790 10.459 Å, 90.00 90.00 90.00°
Space group P-4m2 (No. 115)
Inequivalent atoms, fractional coordinates:
1 Sr 0.000 0.500 0.234 (multiplicity 2)
2 In 0.000 0.500 0.878 (multiplicity 2)
3 In 0.500 0.500 0.500 (multiplicity 1)
4 Sn 0.000 0.000 0.500 (multiplicity 1)
5 Pt 0.000 0.000 0.000 (multiplicity 1)
6 Pt 0.000 0.500 0.623 (multiplicity 2)
7 Pt 0.500 0.500 0.000 (multiplicity 1)